LiHgAu2: relaxed, GGA-PBE.

Structure (POSCAR):
```
LiHgAu2
1.0
2.0117 -2.0156 0.0000
2.0117 2.0156 0.0000
0.0000 0.0000 9.0644
Li Hg Au
1 1 2
Direct
0.0000 0.0000 0.0000 Li
0.0000 0.0000 0.5000 Hg
0.5000 0.5000 0.2091 Au
0.5000 0.5000 0.7909 Au
```

Raw total energy   -9.7 eV per formula unit
Energy of formation   -0.228 eV/atom
Total moment   0.00 Bohr magnetons per cell